Entry from Alexandria via LeMat-Bulk: a relaxed structure of Cu3Mo4O12 (PBE with a Hubbard U).

Output
SG	P-1
spin magnetization	0.161	μB per atom
V	11.52	Å³ per atom
uncorrected energy	-6.591	eV per atom

a = 6.5550 Å, b = 6.5734 Å, c = 6.5824 Å
α = 109.45°, β = 109.47°, γ = 109.33°
Positions (direct):
Cu 0.0000 0.0000 0.0000
Cu 0.0000 0.5000 0.5000
Cu 0.5000 0.0000 0.5000
Mo 0.0000 0.0000 0.5000
Mo 0.0000 0.5000 0.0000
Mo 0.5000 0.0000 0.0000
Mo 0.5000 0.5000 0.5000
O 0.0064 0.1794 0.8100
O 0.1798 0.6752 0.8659
O 0.1855 0.3170 0.5096
O 0.3234 0.0092 0.6926
O 0.3298 0.6338 0.3212
O 0.3644 0.1934 0.1846
O 0.6356 0.8066 0.8154
O 0.6702 0.3662 0.6788
O 0.6766 0.9908 0.3074
O 0.8145 0.6830 0.4904
O 0.8202 0.3248 0.1341
O 0.9936 0.8206 0.1900